# 1
## SbWSe2 (PBE)

Data for a geometry-optimized SbWSe2 structure.

Output
**Space group**: P-1, No. 2
**Volume**: 26.29 A^3/atom
**Final energy**: -6.066 eV/atom
**E_form (uncorrected)**: -5 kJ/mol of atoms
**Crystal system**: triclinic
**D(E_F)**: 0.95 states/eV/f.u.

extended XYZ file:
```
8
Lattice="-5.3501 -1.5425 -2.9804 5.1009 -2.1301 -3.3203 0.2446 -2.9724 5.8472" Properties=species:S:1:pos:R:3 pbc="T T T"
Sb -2.6690 -3.8632 -0.2688
Sb 2.6644 -2.7819 -0.1847
W 1.9294 -4.7960 1.6083
W -1.9340 -1.8490 -2.0618
Se -0.6148 -3.9711 1.6603
Se 0.6102 -2.6740 -2.1138
Se -3.7671 -3.8754 2.8727
Se 3.7625 -2.7696 -3.3262
```



# 2
## Na2TlPd (PBE)

Data for a geometry-optimized Na2TlPd structure.

Output
**Space group**: Cmcm, No. 63
**Volume**: 24.26 A^3/atom
**Final energy**: -2.721 eV/atom
**Energy of formation from the pure elements**: -172 meV per atom
**Crystal system**: orthorhombic
**D(E_F)**: 2.15 states/eV/f.u.

extended XYZ file:
```
8
Lattice="-0.9471 4.6939 -0.9962 -2.6783 -3.5214 -2.0878 -5.9969 0.3113 7.1680" Properties=species:S:1:pos:R:3 pbc="T T T"
Na -5.5608 -0.6049 2.4099
Na -4.0615 2.0887 1.6740
Na -7.6383 -0.4971 4.8932
Na -1.9840 1.9809 -0.8092
Tl -4.1764 -3.4393 -0.2951
Tl -5.4459 4.9231 4.3790
Pd -6.0239 2.1813 4.0145
Pd -3.5984 -0.6975 0.0694
```



# 3
## KMnCuW2 (PBE)

Data for a geometry-optimized KMnCuW2 structure.

Output
**Space group**: P4/mmm, No. 123
**Volume**: 22.81 A^3/atom
**Final energy**: -5.875 eV/atom
**Energy of formation from the pure elements**: 2179 meV per atom
**Crystal system**: tetragonal
**D(E_F)**: 5.48 states/eV/f.u.

extended XYZ file:
```
5
Lattice="-1.0697 -3.2849 -3.0819 4.3709 -2.7076 1.3689 -2.4135 -2.2566 3.2429" Properties=species:S:1:pos:R:3 pbc="T T T"
K 2.1854 -1.3538 0.6844
Mn 0.4438 -4.1245 0.7649
Cu 0.0000 0.0000 0.0000
W -1.2067 -1.1283 1.6214
W -0.5348 -1.6425 -1.5410
```



# 4
## CsSnI2O (PBE)

Data for a geometry-optimized CsSnI2O structure.

Output
**Space group**: P4/mmm, No. 123
**Volume**: 40.99 A^3/atom
**Energy relative to the lowest polymorph listed for this composition**: 1.1024 eV/atom
**Final energy**: -2.457 eV/atom
**E_form (uncorrected)**: 12 kJ/mol of atoms
**Crystal system**: tetragonal
**D(E_F)**: 3.17 states/eV/f.u.

extended XYZ file:
```
5
Lattice="6.8394 0.0000 0.0000 0.0000 6.8394 0.0000 0.0000 0.0000 4.3809" Properties=species:S:1:pos:R:3 pbc="T T T"
Cs 0.0000 0.0000 0.0000
I 0.0000 3.4197 0.0000
I 3.4197 0.0000 0.0000
Sn 3.4197 3.4197 2.1904
O 0.0000 0.0000 2.1904
```



# 5
## MgCu2IrO (PBE)

Data for a geometry-optimized MgCu2IrO structure.

Output
**Space group**: P4/mmm, No. 123
**Volume**: 15.06 A^3/atom
**Final energy**: -4.119 eV/atom
**E_form (uncorrected)**: 58 kJ/mol of atoms
**Crystal system**: tetragonal
**D(E_F)**: 3.90 states/eV/f.u.

extended XYZ file:
```
5
Lattice="-4.0182 1.7529 1.5632 -0.7735 -3.0642 1.4476 2.1080 1.3256 3.9321" Properties=species:S:1:pos:R:3 pbc="T T T"
Mg 0.0000 0.0000 0.0000
Ir -1.3419 0.0071 3.4715
O -0.3868 -1.5321 0.7238
Cu 1.0540 0.6628 1.9661
Cu -2.0091 0.8764 0.7816
```



# 6
## NbFe4Re (PBE)

Data for a geometry-optimized NbFe4Re structure.

Output
**Space group**: F-43m, No. 216
**Volume**: 12.57 A^3/atom
**Final energy**: -9.458 eV/atom
**Energy of formation from the pure elements**: -63 meV per atom
**Crystal system**: cubic
**D(E_F)**: 8.39 states/eV/f.u.

extended XYZ file:
```
6
Lattice="4.7424 0.0000 0.0000 2.3712 4.1070 0.0000 2.3712 1.3690 3.8721" Properties=species:S:1:pos:R:3 pbc="T T T"
Re 2.3712 1.3690 0.9680
Nb 0.0000 0.0000 0.0000
Fe 4.7424 2.7380 0.4872
Fe 4.7424 1.3720 2.4190
Fe 5.9254 3.4210 2.4190
Fe 3.5594 3.4210 2.4190
```



# 7
## Ta6NbMo3 (PBE)

Data for a geometry-optimized Ta6NbMo3 structure.

Output
**Space group**: P2_1/m, No. 11
**Volume**: 18.15 A^3/atom
**Final energy**: -11.110 eV/atom
**Energy of formation from the pure elements**: 258 meV per atom
**Crystal system**: monoclinic
**D(E_F)**: 9.13 states/eV/f.u.

extended XYZ file:
```
20
Lattice="-2.9603 0.8371 0.5917 -3.0996 -5.9139 -7.1406 1.4330 -4.3280 13.2928" Properties=species:S:1:pos:R:3 pbc="T T T"
Ta -1.8460 -2.8123 7.1833
Ta -2.7809 -6.5925 -0.4395
Ta -2.5936 -0.6229 0.3457
Ta -2.0334 -8.7818 6.3982
Ta -3.4681 -6.7702 4.6672
Ta -1.1588 -2.6346 2.0767
Ta -3.4451 -4.1673 1.0997
Ta -1.1818 -5.2375 5.6442
Ta -1.9325 -5.6787 10.8060
Ta -2.6944 -3.7260 -4.0622
Ta -1.8764 -1.2046 4.7569
Ta -2.7505 -8.2001 1.9870
Nb -2.6757 -6.1447 7.7467
Nb -1.9512 -3.2601 -1.0029
Mo -2.6851 -3.6236 4.1328
Mo -1.9418 -5.7812 2.6111
Mo -4.2028 -4.6688 -1.9817
Mo -0.4241 -4.7359 8.7256
Mo -1.1364 -3.3027 11.4276
Mo -3.4905 -6.1021 -4.6837
```



# 8
## Li3Br (PBE)

Data for a geometry-optimized Li3Br structure.

Output
**Space group**: Cmmm, No. 65
**Volume**: 19.91 A^3/atom
**Energy relative to the lowest polymorph listed for this composition**: 0.0128 eV/atom
**Final energy**: -2.452 eV/atom
**E_form (uncorrected)**: -58 kJ/mol of atoms
**Crystal system**: orthorhombic
**D(E_F)**: 0.58 states/eV/f.u.

extended XYZ file:
```
4
Lattice="3.5823 0.0905 0.0000 -0.3381 3.5674 0.0000 0.0000 0.0000 6.2177" Properties=species:S:1:pos:R:3 pbc="T T T"
Br 0.0000 0.0000 0.0000
Li 1.6221 1.8290 4.6731
Li 0.0000 0.0000 3.1089
Li 1.6221 1.8290 1.5446
```



# 9
## ScV3Te (PBE)

Data for a geometry-optimized ScV3Te structure.

Output
**Space group**: Pm-3m, No. 221
**Volume**: 22.38 A^3/atom
**Energy relative to the lowest polymorph listed for this composition**: 0.0000 eV/atom
**Final energy**: -6.331 eV/atom
**E_form (uncorrected)**: 100 kJ/mol of atoms
**Crystal system**: cubic
**D(E_F)**: 5.94 states/eV/f.u.

extended XYZ file:
```
5
Lattice="-1.1174 3.3146 -3.3141 -1.2840 -3.4931 -3.0607 -4.5079 0.1733 1.6933" Properties=species:S:1:pos:R:3 pbc="T T T"
Sc -3.4546 -0.0025 -2.3408
Te 0.0000 0.0000 0.0000
V -0.6420 -1.7465 -1.5304
V -2.2539 0.0867 0.8466
V -0.5587 1.6573 -1.6570
```



# 10
## K3Zn (PBE)

Data for a geometry-optimized K3Zn structure.

Output
**Space group**: Pm-3m, No. 221
**Volume**: 50.37 A^3/atom
**Final energy**: -0.991 eV/atom
**Energy of formation from the pure elements**: 151 meV per atom
**Crystal system**: cubic
**D(E_F)**: 2.39 states/eV/f.u.

extended XYZ file:
```
4
Lattice="-5.2232 -1.1245 -2.4126 2.5850 -0.8753 -5.1883 0.6350 -5.6865 1.2757" Properties=species:S:1:pos:R:3 pbc="T T T"
Zn 0.0000 0.0000 0.0000
K 1.6100 -3.2809 -1.9563
K -2.2941 -3.4055 -0.5684
K -1.3191 -0.9999 -3.8005
```



# 11
## ZrScAu2 (PBE)

Data for a geometry-optimized ZrScAu2 structure.

Output
**Space group**: Immm, No. 71
**Volume**: 21.61 A^3/atom
**Energy relative to the lowest polymorph listed for this composition**: 0.8898 eV/atom
**Final energy**: -5.102 eV/atom
**Energy of formation from the pure elements**: 257 meV per atom
**Crystal system**: orthorhombic
**D(E_F)**: 2.86 states/eV/f.u.

extended XYZ file:
```
4
Lattice="5.2727 -1.7422 -3.0860 -1.5626 5.3287 3.0860 -3.7546 0.1718 5.1219" Properties=species:S:1:pos:R:3 pbc="T T T"
Zr -2.6586 2.7502 4.1039
Sc 0.0000 0.0000 0.0000
Au -1.3238 1.3694 2.0434
Au -3.9934 4.1311 6.1644
```



# 12
## NbFeS (PBE)

Data for a geometry-optimized NbFeS structure.

Output
**Space group**: P-6m2, No. 187
**Volume**: 13.43 A^3/atom
**Energy relative to the lowest polymorph listed for this composition**: 0.0000 eV/atom
**Final energy**: -7.965 eV/atom
**E_form (uncorrected)**: -40 kJ/mol of atoms
**Crystal system**: hexagonal
**D(E_F)**: 2.30 states/eV/f.u.

extended XYZ file:
```
3
Lattice="-1.5755 -1.1698 -3.1587 3.5156 -0.9281 0.7791 -1.0794 -2.7742 1.5658" Properties=species:S:1:pos:R:3 pbc="T T T"
S -0.5397 -1.3871 0.7829
Nb 1.8186 -1.0087 -0.5335
Fe -0.4181 -2.4764 -1.0632
```